Entry 1:
## AlFe4Hg2O2F (GGA+U)

Data for crystalline AlFe4Hg2O2F at its relaxed geometry. Values from VASP.

The structure in Quantum ESPRESSO input format:
```
&SYSTEM
  ibrav = 0, nat = 20, ntyp = 5
/
ATOMIC_SPECIES
O 16.00 O.upf
Fe 55.84 Fe.upf
Hg 200.59 Hg.upf
Al 26.98 Al.upf
F 19.00 F.upf
CELL_PARAMETERS angstrom
3.338 -6.849 1.884
-6.949 -3.276 -1.607
3.403 4.344 -5.581
ATOMIC_POSITIONS crystal
O 0.420 0.402 0.500
Fe 0.932 0.191 0.757
Hg 0.795 0.551 0.500
Fe 0.175 0.932 0.741
Hg 0.295 0.795 0.244
Al 0.871 0.871 0.000
F 0.042 0.042 0.000
Fe 0.935 0.691 0.259
F 0.542 0.542 0.000
Fe 0.435 0.175 0.243
Al 0.371 0.371 0.000
O 0.402 0.902 0.981
O 0.902 0.920 0.500
Fe 0.191 0.435 0.259
Fe 0.675 0.935 0.243
O 0.920 0.420 0.019
Fe 0.691 0.432 0.757
Hg 0.551 0.051 0.756
Hg 0.051 0.295 0.500
Fe 0.432 0.675 0.741
```

Properties
V (Å³ per atom): 17.58
D(E_F) (states/eV/cell): 7.1
Total magnetic moment (μB/f.u.): 14.372
Energy relative to the lowest polymorph listed for this composition (eV/f.u.): 0.00

Entry 2:
## AlFe4Hg2O2F (GGA+U)

Data for crystalline AlFe4Hg2O2F at its relaxed geometry. Values from VASP.

The structure in Quantum ESPRESSO input format:
```
&SYSTEM
  ibrav = 0, nat = 20, ntyp = 5
/
ATOMIC_SPECIES
Fe 55.84 Fe.upf
Al 26.98 Al.upf
O 16.00 O.upf
Hg 200.59 Hg.upf
F 19.00 F.upf
CELL_PARAMETERS angstrom
2.623 -7.303 0.498
-7.752 -0.507 -0.328
2.848 3.583 -6.286
ATOMIC_POSITIONS crystal
Fe 0.054 0.779 0.231
Al 0.625 0.625 0.000
O 0.009 0.509 0.741
Hg 0.300 0.347 0.500
O 0.268 0.009 0.500
F 0.935 0.935 0.000
Fe 0.554 0.323 0.275
Hg 0.847 0.800 0.500
O 0.768 0.268 0.259
Fe 0.779 0.548 0.725
Fe 0.323 0.048 0.769
Fe 0.823 0.054 0.275
O 0.509 0.768 0.500
Hg 0.347 0.847 0.047
Fe 0.548 0.823 0.769
Hg 0.800 0.300 0.953
Fe 0.048 0.279 0.725
F 0.435 0.435 0.000
Al 0.125 0.125 0.000
Fe 0.279 0.554 0.231
```

Properties
V (Å³ per atom): 18.05
D(E_F) (states/eV/cell): 6.8
Total magnetic moment (μB/f.u.): 14.891
Energy relative to the lowest polymorph listed for this composition (eV/f.u.): 1.53

Entry 3:
## AlFe2IrF (GGA+U)

Data for crystalline AlFe2IrF at its relaxed geometry. Values from VASP.

The structure in Quantum ESPRESSO input format:
```
&SYSTEM
  ibrav = 0, nat = 5, ntyp = 4
/
ATOMIC_SPECIES
F 19.00 F.upf
Fe 55.84 Fe.upf
Ir 192.22 Ir.upf
Al 26.98 Al.upf
CELL_PARAMETERS angstrom
-0.131 2.338 -4.412
-1.510 -3.328 -1.719
-4.631 1.594 0.982
ATOMIC_POSITIONS crystal
F 0.000 0.500 0.000
Fe 0.500 0.000 0.000
Ir 0.000 0.000 0.000
Fe 0.000 0.000 0.500
Al 0.500 0.500 0.500
```

Properties
V (Å³ per atom): 20.15
D(E_F) (states/eV/cell): 2.3
Total magnetic moment (μB/f.u.): 7.596
Calculated total energy (eV per atom): -4.57

Entry 4:
## K2AlFeF6 (GGA+U)

Data for crystalline K2AlFeF6 at its relaxed geometry. Values from VASP.

The structure in Quantum ESPRESSO input format:
```
&SYSTEM
  ibrav = 0, nat = 20, ntyp = 4
/
ATOMIC_SPECIES
K 39.10 K.upf
F 19.00 F.upf
Fe 55.84 Fe.upf
Al 26.98 Al.upf
CELL_PARAMETERS angstrom
-3.960 -0.713 4.255
-4.188 -0.709 -4.016
1.409 -8.085 -0.043
ATOMIC_POSITIONS crystal
K 0.500 0.750 0.251
F 0.221 0.972 0.000
K 0.000 0.250 0.751
F 0.279 0.028 0.500
Fe 0.500 0.250 0.000
F 0.279 0.472 0.500
K 0.000 0.250 0.249
F 0.221 0.528 0.000
Al 0.500 0.250 0.500
Fe 0.000 0.750 0.500
F 0.779 0.972 0.000
F 0.500 0.250 0.724
F 0.500 0.250 0.276
F 0.779 0.528 0.000
K 0.500 0.750 0.749
F 0.000 0.750 0.224
F 0.721 0.028 0.500
F 0.721 0.472 0.500
Al 0.000 0.750 0.000
F 0.000 0.750 0.776
```

Properties
V (Å³ per atom): 14.05
D(E_F) (states/eV/cell): 1.7
Total magnetic moment (μB/f.u.): 2.999
Calculated total energy (eV per atom): -5.05

Entry 5:
## LiAlFeF6 (GGA+U)

Data for crystalline LiAlFeF6 at its relaxed geometry. Values from VASP.

The structure in Quantum ESPRESSO input format:
```
&SYSTEM
  ibrav = 0, nat = 18, ntyp = 4
/
ATOMIC_SPECIES
Fe 55.84 Fe.upf
Al 26.98 Al.upf
F 19.00 F.upf
Li 6.94 Li.upf
CELL_PARAMETERS angstrom
-1.458 -4.249 1.208
4.399 -1.279 0.810
-0.801 2.745 8.687
ATOMIC_POSITIONS crystal
Fe 0.500 0.500 0.169
Al 0.000 0.000 0.334
F 0.188 0.812 0.184
Li 0.500 0.500 0.497
F 0.278 0.278 0.336
F 0.310 0.310 0.981
F 0.778 0.222 0.836
F 0.722 0.722 0.336
F 0.812 0.188 0.184
F 0.810 0.190 0.481
Fe 0.000 0.000 0.669
Li 0.000 0.000 0.997
Al 0.500 0.500 0.834
F 0.190 0.810 0.481
F 0.688 0.688 0.684
F 0.312 0.312 0.684
F 0.690 0.690 0.981
F 0.222 0.778 0.836
```

Properties
V (Å³ per atom): 11.00
D(E_F) (states/eV/cell): 0.0
Total magnetic moment (μB/f.u.): 4.000
Calculated total energy (eV per atom): -5.57

Entry 6:
## Na2AlFeF6 (GGA+U)

Data for crystalline Na2AlFeF6 at its relaxed geometry. Values from VASP.

The structure in Quantum ESPRESSO input format:
```
&SYSTEM
  ibrav = 0, nat = 20, ntyp = 4
/
ATOMIC_SPECIES
Na 22.99 Na.upf
F 19.00 F.upf
Fe 55.84 Fe.upf
Al 26.98 Al.upf
CELL_PARAMETERS angstrom
6.057 0.000 0.000
0.000 5.440 0.000
0.000 0.000 7.999
ATOMIC_POSITIONS crystal
Na 0.500 0.750 0.285
F 0.708 0.008 0.500
F 0.000 0.750 0.228
F 0.500 0.250 0.272
F 0.792 0.992 0.000
F 0.708 0.492 0.500
Na 0.500 0.750 0.715
F 0.292 0.008 0.500
Na 0.000 0.250 0.785
F 0.208 0.992 0.000
F 0.208 0.508 0.000
F 0.292 0.492 0.500
Fe 0.000 0.750 0.500
Al 0.000 0.750 0.000
F 0.500 0.250 0.728
Fe 0.500 0.250 0.000
F 0.000 0.750 0.772
Na 0.000 0.250 0.215
Al 0.500 0.250 0.500
F 0.792 0.508 0.000
```

Properties
V (Å³ per atom): 13.18
D(E_F) (states/eV/cell): 6.5
Total magnetic moment (μB/f.u.): 3.091
Calculated total energy (eV per atom): -4.98

Entry 7:
## AlFeO2F (GGA+U)

Data for crystalline AlFeO2F at its relaxed geometry. Values from VASP.

The structure in Quantum ESPRESSO input format:
```
&SYSTEM
  ibrav = 0, nat = 5, ntyp = 4
/
ATOMIC_SPECIES
O 16.00 O.upf
Fe 55.84 Fe.upf
F 19.00 F.upf
Al 26.98 Al.upf
CELL_PARAMETERS angstrom
3.942 0.000 0.000
0.000 3.859 0.000
0.000 0.000 3.942
ATOMIC_POSITIONS crystal
O 0.500 0.000 0.000
Fe 0.000 0.000 0.000
O 0.000 0.000 0.500
F 0.000 0.500 0.000
Al 0.500 0.500 0.500
```

Properties
V (Å³ per atom): 11.99
D(E_F) (states/eV/cell): 1.9
Total magnetic moment (μB/f.u.): 4.611
Calculated total energy (eV per atom): -5.39

Entry 8:
## AlFeOF2 (GGA+U)

Data for crystalline AlFeOF2 at its relaxed geometry. Values from VASP.

The structure in Quantum ESPRESSO input format:
```
&SYSTEM
  ibrav = 0, nat = 5, ntyp = 4
/
ATOMIC_SPECIES
Al 26.98 Al.upf
F 19.00 F.upf
O 16.00 O.upf
Fe 55.84 Fe.upf
CELL_PARAMETERS angstrom
4.183 0.000 0.000
0.000 4.183 0.000
0.000 0.000 3.823
ATOMIC_POSITIONS crystal
Al 0.500 0.500 0.500
F 0.500 0.000 0.000
F 0.000 0.500 0.000
O 0.000 0.000 0.500
Fe 0.000 0.000 0.000
```

Properties
V (Å³ per atom): 13.38
D(E_F) (states/eV/cell): 0.1
Total magnetic moment (μB/f.u.): 5.000
Energy relative to the lowest polymorph listed for this composition (eV/f.u.): 2.97

Entry 9:
## AlFeO2F (GGA+U)

Data for crystalline AlFeO2F at its relaxed geometry. Values from VASP.

The structure in Quantum ESPRESSO input format:
```
&SYSTEM
  ibrav = 0, nat = 5, ntyp = 4
/
ATOMIC_SPECIES
Fe 55.84 Fe.upf
O 16.00 O.upf
Al 26.98 Al.upf
F 19.00 F.upf
CELL_PARAMETERS angstrom
3.749 0.000 0.000
0.000 3.749 0.000
0.000 0.000 3.561
ATOMIC_POSITIONS crystal
Fe 0.500 0.500 0.500
O 0.000 0.500 0.000
Al 0.000 0.000 0.000
O 0.500 0.000 0.000
F 0.000 0.000 0.500
```

Properties
V (Å³ per atom): 10.01
D(E_F) (states/eV/cell): 0.0
Total magnetic moment (μB/f.u.): 4.000
Calculated total energy (eV per atom): -6.33

Entry 10:
## AlFeOF2 (GGA+U)

Data for crystalline AlFeOF2 at its relaxed geometry. Values from VASP.

The structure in Quantum ESPRESSO input format:
```
&SYSTEM
  ibrav = 0, nat = 5, ntyp = 4
/
ATOMIC_SPECIES
O 16.00 O.upf
Al 26.98 Al.upf
Fe 55.84 Fe.upf
F 19.00 F.upf
CELL_PARAMETERS angstrom
3.825 0.000 0.000
0.000 3.825 0.000
0.000 0.000 3.613
ATOMIC_POSITIONS crystal
O 0.000 0.000 0.500
Al 0.000 0.000 0.000
Fe 0.500 0.500 0.500
F 0.500 0.000 0.000
F 0.000 0.500 0.000
```

Properties
V (Å³ per atom): 10.57
D(E_F) (states/eV/cell): 0.9
Total magnetic moment (μB/f.u.): 3.033
Energy relative to the lowest polymorph listed for this composition (eV/f.u.): 0.00

Entry 11:
## AlFeOsF2 (GGA+U)

Data for crystalline AlFeOsF2 at its relaxed geometry. Values from VASP.

The structure in Quantum ESPRESSO input format:
```
&SYSTEM
  ibrav = 0, nat = 5, ntyp = 4
/
ATOMIC_SPECIES
F 19.00 F.upf
Os 190.23 Os.upf
Al 26.98 Al.upf
Fe 55.84 Fe.upf
CELL_PARAMETERS angstrom
3.576 0.000 0.000
0.000 5.712 0.000
0.000 0.000 3.576
ATOMIC_POSITIONS crystal
F 0.500 0.000 0.000
Os 0.000 0.500 0.000
Al 0.000 0.000 0.000
F 0.000 0.000 0.500
Fe 0.500 0.500 0.500
```

Properties
V (Å³ per atom): 14.61
D(E_F) (states/eV/cell): 3.8
Total magnetic moment (μB/f.u.): 3.623
Calculated total energy (eV per atom): -5.71

Entry 12:
## RbAlFeF2 (GGA+U)

Data for crystalline RbAlFeF2 at its relaxed geometry. Values from VASP.

The structure in Quantum ESPRESSO input format:
```
&SYSTEM
  ibrav = 0, nat = 5, ntyp = 4
/
ATOMIC_SPECIES
F 19.00 F.upf
Fe 55.84 Fe.upf
Al 26.98 Al.upf
Rb 85.47 Rb.upf
CELL_PARAMETERS angstrom
-0.359 -4.588 -0.731
0.124 -0.754 4.670
-4.644 0.335 0.177
ATOMIC_POSITIONS crystal
F 0.500 0.000 0.000
F 0.000 0.000 0.500
Fe 0.000 0.000 0.000
Al 0.000 0.500 0.000
Rb 0.500 0.500 0.500
```

Properties
V (Å³ per atom): 20.55
D(E_F) (states/eV/cell): 1.1
Total magnetic moment (μB/f.u.): 2.282
Calculated total energy (eV per atom): -3.68